Record 1
Here is a relaxed structure of MgAl2Cd from Alexandria via LeMat-Bulk. Energies are from PBE-GGA.

Cell and atoms, written as POSCAR:
```
MgAl2Cd
1.0
-9.487 1.961 -0.633
-9.598 -0.324 1.421
-9.065 2.557 2.353
Cd Al Mg
1 2 1
Cartesian
-14.139 2.106 1.578
-7.128 1.062 0.795
-28.096 4.186 3.135
-21.010 3.130 2.344
```

Results
- D(E_F): 1.2 states/eV/f.u.
- Formation energy: 0.035 eV per atom
- Total DFT energy (no corrections): -9.86 eV per formula unit
- Symmetry: R3m, No. 160


Record 2
Here is a relaxed structure of Pm8InSn2 from Alexandria via LeMat-Bulk. Energies are from PBE-GGA.

Cell and atoms, written as POSCAR:
```
Pm8InSn2
1.0
-5.130 0.804 -0.850
-0.031 -5.171 -4.705
0.450 -4.862 8.972
Pm Sn In
8 2 1
Cartesian
-1.740 -6.322 4.519
-4.616 -5.123 6.730
-0.095 -4.106 -3.312
-3.271 -6.181 -2.391
-0.910 -3.560 2.124
-1.440 -3.048 5.809
-3.801 -5.669 1.293
-2.971 -2.907 -1.101
-3.930 -3.734 3.898
-0.781 -5.495 -0.480
-2.565 0.402 -0.425
```

Results
- D(E_F): 12.0 states/eV/f.u.
- Formation energy: -0.341 eV per atom
- Total DFT energy (no corrections): -52.50 eV per formula unit
- Symmetry: C2/m, No. 12


Record 3
Here is a relaxed structure of Tb2Pr3Y7 from Alexandria via LeMat-Bulk. Energies are from PBE-GGA.

Cell and atoms, written as POSCAR:
```
Tb2Pr3Y7
1.0
-3.385 0.851 0.904
0.040 -4.213 4.116
6.489 15.932 9.308
Y Pr Tb
7 3 2
Cartesian
0.952 0.385 3.205
1.811 7.815 6.618
0.000 0.000 0.000
-0.511 -0.906 6.131
3.655 13.476 8.197
1.333 4.755 7.710
5.577 11.335 10.220
4.148 6.489 9.431
-1.672 -1.681 2.510
2.381 5.231 3.994
0.228 2.638 5.564
2.916 9.933 8.764
```

Results
- D(E_F): 15.0 states/eV/f.u.
- Energy above the most stable polymorph in this dataset: 0 meV/atom
- Formation energy: 0.082 eV per atom
- Total DFT energy (no corrections): -67.86 eV per formula unit
- Symmetry: P2/m, No. 10


Record 4
Here is a relaxed structure of AlCr2Cu from Alexandria via LeMat-Bulk. Energies are from PBE-GGA.

Cell and atoms, written as POSCAR:
```
AlCr2Cu
1.0
-1.210 0.665 2.095
0.437 -2.271 0.973
6.756 2.616 3.071
Cr Al Cu
2 1 1
Cartesian
3.370 1.305 1.532
0.008 0.003 0.004
4.680 1.159 3.838
1.302 -0.149 2.302
```

Results
- D(E_F): 2.9 states/eV/f.u.
- Formation energy: 0.151 eV per atom
- Total DFT energy (no corrections): -26.48 eV per formula unit
- Symmetry: P4/mmm, No. 123


Record 5
Here is a relaxed structure of TeIr2 from Alexandria via LeMat-Bulk. Energies are from PBE-GGA.

Cell and atoms, written as POSCAR:
```
TeIr2
1.0
-7.504 4.184 10.515
-2.994 1.979 13.095
6.528 -0.567 -11.892
Ir Te
8 4
Cartesian
-3.884 3.802 6.949
-2.636 1.547 5.927
-5.726 4.883 11.091
-4.477 2.628 10.070
-7.863 4.615 17.683
-2.341 2.896 3.478
-6.021 3.534 13.540
-0.499 1.815 -0.664
-0.798 0.469 1.795
-0.059 1.778 4.709
-1.656 2.715 8.299
-9.700 5.694 21.815
```

Results
- D(E_F): 1.7 states/eV/f.u.
- Energy above the most stable polymorph in this dataset: 444 meV/atom
- Energy relative to the elements, uncorrected: 1.352 eV per formula unit
- Total DFT energy (no corrections): -19.51 eV per formula unit
- Symmetry: I4_1/amd, No. 141


Record 6
Here is a relaxed structure of PmPr5Pb3 from Alexandria via LeMat-Bulk. Energies are from PBE-GGA.

Cell and atoms, written as POSCAR:
```
PmPr5Pb3
1.0
-6.798 -0.469 0.837
-1.150 -0.715 -9.743
1.227 -8.119 5.417
Pb Pr Pm
6 10 2
Cartesian
-1.291 -2.819 2.012
-5.431 -6.484 -5.501
-2.082 -0.355 -3.033
-5.073 -3.292 -0.812
-5.866 -0.829 -5.873
-1.649 -6.011 -2.677
-2.965 -5.885 0.782
-4.690 -3.054 2.431
-3.757 -3.418 -4.271
-5.482 -0.590 -2.615
-0.358 -3.183 -4.690
0.434 -5.651 0.363
-0.881 -5.534 3.823
-1.674 -3.057 -1.231
-2.467 -0.594 -6.291
-5.048 -6.246 -2.259
0.000 0.000 0.000
-3.399 -0.234 0.419
```

Results
- D(E_F): 10.1 states/eV/f.u.
- Formation energy: -0.431 eV per atom
- Total DFT energy (no corrections): -43.66 eV per formula unit
- Symmetry: P6_3/mcm, No. 193


Record 7
Here is a relaxed structure of Ca5GeCl5 from Alexandria via LeMat-Bulk. Energies are from PBE-GGA.

Cell and atoms, written as POSCAR:
```
Ca5GeCl5
1.0
5.764 0.000 0.000
-2.882 6.278 -2.143
0.000 0.088 8.298
Cl Ge Ca
5 1 5
Cartesian
0.000 4.091 -0.012
2.882 2.276 6.166
2.882 2.389 2.063
0.000 3.978 4.092
0.000 0.044 4.149
0.000 0.000 0.000
2.882 0.000 0.000
0.000 1.971 2.004
2.882 4.331 -0.110
2.882 4.396 4.151
0.000 2.036 6.264
```

Results
- D(E_F): 4.0 states/eV/f.u.
- Energy relative to the elements, uncorrected: -19.023 eV per formula unit
- Total DFT energy (no corrections): -42.88 eV per formula unit
- Symmetry: C2/m, No. 12


Record 8
Here is a relaxed structure of W2SeCl from Alexandria via LeMat-Bulk. Energies are from PBE-GGA.

Cell and atoms, written as POSCAR:
```
W2SeCl
1.0
-2.914 -0.065 -1.145
1.212 -2.103 1.979
-2.747 4.738 6.719
W Cl Se
2 1 1
Cartesian
-1.398 2.411 3.419
-2.722 4.696 6.659
-1.538 0.101 2.096
-2.911 2.470 5.456
```

Results
- D(E_F): 3.7 states/eV/f.u.
- Energy above the most stable polymorph in this dataset: 956 meV/atom
- Energy relative to the elements, uncorrected: 3.702 eV per formula unit
- Total DFT energy (no corrections): -27.54 eV per formula unit
- Symmetry: Cmmm, No. 65


Record 9
Here is a relaxed structure of BeBi2OsRu from Alexandria via LeMat-Bulk. Energies are from PBE-GGA.

Cell and atoms, written as POSCAR:
```
BeBi2OsRu
1.0
-2.965 3.864 -1.885
1.422 -1.280 -4.860
-3.257 -2.627 -0.261
Os Be Bi Ru
1 1 2 1
Cartesian
0.000 0.000 0.000
-1.629 -1.313 -0.130
0.711 -0.640 -2.430
-1.483 1.932 -0.943
-2.400 -0.022 -3.503
```

Results
- D(E_F): 5.1 states/eV/f.u.
- Energy above the most stable polymorph in this dataset: 0 meV/atom
- Formation energy: 1.202 eV per atom
- Total DFT energy (no corrections): -25.98 eV per formula unit
- Symmetry: P4/mmm, No. 123


Record 10
Here is a relaxed structure of FeTc2Ag from Alexandria via LeMat-Bulk. Energies are from PBE-GGA.

Cell and atoms, written as POSCAR:
```
FeTc2Ag
1.0
-0.006 2.078 -4.499
4.002 -2.742 1.014
-1.199 -2.110 -0.973
Tc Fe Ag
2 1 1
Cartesian
1.998 -0.332 -1.743
0.000 0.000 0.000
1.401 -2.426 0.020
-0.603 -0.016 -2.736
```

Results
- D(E_F): 3.6 states/eV/f.u.
- Energy above the most stable polymorph in this dataset: 156 meV/atom
- Formation energy: 0.474 eV per atom
- Total DFT energy (no corrections): -30.15 eV per formula unit
- Symmetry: Cmmm, No. 65


Record 11
Here is a relaxed structure of Sc2ReWCl from Alexandria via LeMat-Bulk. Energies are from PBE-GGA.

Cell and atoms, written as POSCAR:
```
Sc2ReWCl
1.0
-3.699 2.627 -0.735
-1.214 -2.693 -3.521
-2.343 -2.531 2.744
Re W Sc Cl
1 1 2 1
Cartesian
-3.628 -1.298 -0.756
-1.171 -1.265 1.372
-1.849 1.314 -0.367
-0.607 -1.347 -1.760
0.000 0.000 0.000
```

Results
- D(E_F): 4.5 states/eV/f.u.
- Energy relative to the elements, uncorrected: 3.374 eV per formula unit
- Total DFT energy (no corrections): -36.54 eV per formula unit
- Symmetry: P4/mmm, No. 123


Record 12
Here is a relaxed structure of MgSb2P from Alexandria via LeMat-Bulk. Energies are from PBE-GGA.

Cell and atoms, written as POSCAR:
```
MgSb2P
1.0
-0.465 5.199 3.133
-5.141 1.358 2.965
4.556 -3.980 -0.683
Sb P Mg
2 1 1
Cartesian
-1.616 0.238 2.581
-5.388 6.302 5.861
0.618 2.279 2.777
-3.073 3.594 3.342
```

Results
- D(E_F): 1.7 states/eV/f.u.
- Energy above the most stable polymorph in this dataset: 172 meV/atom
- Energy relative to the elements, uncorrected: 0.471 eV per formula unit
- Total DFT energy (no corrections): -14.78 eV per formula unit
- Symmetry: Imm2, No. 44


Record 13
Here is a relaxed structure of ErTaSi2 from Alexandria via LeMat-Bulk. Energies are from PBE-GGA.

Cell and atoms, written as POSCAR:
```
ErTaSi2
1.0
3.796 0.000 0.000
1.898 3.287 0.000
1.898 1.096 6.350
Er Ta Si
1 1 2
Cartesian
3.796 2.191 3.175
0.000 0.000 0.000
5.693 3.287 4.946
1.898 1.096 1.404
```

Results
- D(E_F): 1.2 states/eV/f.u.
- Energy relative to the elements, uncorrected: -1.547 eV per formula unit
- Total DFT energy (no corrections): -28.81 eV per formula unit
- Symmetry: R-3m, No. 166


Number 1: volume 19.5 Å³/atom. Number 2: volume 32.0 Å³/atom. Number 3: volume 33.5 Å³/atom. Number 4: volume 12.4 Å³/atom. Number 5: volume 17.6 Å³/atom. Number 6: volume 32.0 Å³/atom. Number 7: volume 27.4 Å³/atom. Number 8: volume 17.4 Å³/atom. Number 9: volume 22.9 Å³/atom. Number 10: volume 14.6 Å³/atom. Number 11: volume 18.6 Å³/atom. Number 12: volume 22.9 Å³/atom. Number 13: volume 19.8 Å³/atom.